# ZnPPt2

A geometry-optimized ZnPPt2 structure (PBE, the Alexandria database).

a = 5.7252 Å, b = 5.7252 Å, c = 6.4787 Å
α = 63.78°, β = 63.78°, γ = 90.00°
Last column: nearest neighbours and their distance in Å.
Element x y z (fractional)
P: 0.5000 0.5000 0.0000  4 Pt 2.26
P: 0.2500 0.7500 0.5000  4 Pt 2.26
Pt: 0.1649 0.6250 0.2500  2 P 2.26
Pt: 0.3750 0.4149 0.7500  2 P 2.26
Pt: 0.5851 0.1250 0.2500  2 P 2.26
Pt: 0.8750 0.8351 0.7500  2 P 2.26
Zn: 0.7500 0.2500 0.5000  4 Pt 2.53
Zn: 0.0000 0.0000 0.0000  4 Pt 2.53

Values from the calculation:
Its polymorph energy (0 for the lowest one) is 233 meV/atom. The calculated formation energy comes out at -148 meV per atom. Its space group is I-42d. The value obtained for the density of states at the Fermi level is 1.4 states/eV/f.u. The total moment is 0.00 μB/f.u.